Record 1
Entry from Alexandria via LeMat-Bulk: an optimized crystal structure of LaBe2AsO8 (PBE-GGA).

Structure (POSCAR):
```
LaBe2AsO8
1.0
4.699 0.000 0.000
-2.349 4.069 0.000
0.000 0.000 6.904
La Be As O
1 2 1 8
Cartesian
0.000 0.000 0.000
2.349 1.356 1.892
0.000 2.713 5.011
0.000 0.000 3.452
0.000 2.713 6.657
0.817 1.161 2.297
3.284 0.127 2.297
2.349 1.356 0.247
-0.935 3.942 4.606
1.532 2.908 4.606
-0.597 1.288 4.606
2.946 2.781 2.297
```

Output
Space group = P-3 (147)
VASP energy = -75.5 eV/cell



Record 2
Entry from Alexandria via LeMat-Bulk: an optimized crystal structure of LaBe4As3O12 (PBE-GGA).

Structure (POSCAR):
```
LaBe4As3O12
1.0
-3.846 -1.954 4.559
5.626 0.494 2.738
-1.752 5.913 -1.165
La Be As O
1 4 3 12
Cartesian
0.000 0.000 0.000
-4.116 1.159 3.860
0.927 5.657 0.570
3.231 -0.136 4.767
0.014 2.227 3.066
0.356 -0.868 3.751
-2.681 2.423 1.374
2.353 2.898 1.006
-1.154 3.085 2.448
-0.835 -0.964 5.387
3.856 3.220 2.327
-2.979 4.425 1.483
3.652 1.162 4.062
-0.551 5.476 0.948
-3.057 0.384 4.658
1.815 -0.703 4.946
2.122 4.777 0.964
-3.897 2.265 2.816
-0.318 0.981 3.972
1.514 2.614 2.777
```

Output
Space group = R32 (155)
VASP energy = -131.3 eV/cell



Record 3
Entry from Alexandria via LeMat-Bulk: an optimized crystal structure of La2BeAsP (PBE-GGA).

Structure (POSCAR):
```
La2BeAsP
1.0
-4.236 1.391 -3.140
-2.404 -2.222 2.259
-0.964 4.303 3.208
P As Be La
1 1 1 2
Cartesian
-3.802 1.736 1.163
-1.202 -1.111 1.129
0.000 0.000 0.000
-0.482 2.151 1.604
-2.118 0.696 -1.570
```

Output
Space group = P4/mmm (123)
DFT formation energy = -0.50 eV/atom



Record 4
Entry from Alexandria via LeMat-Bulk: an optimized crystal structure of LaBe2AsPt (PBE-GGA).

Structure (POSCAR):
```
LaBe2AsPt
1.0
4.313 0.000 0.000
0.000 4.313 0.000
0.000 0.000 5.274
Be As Pt La
2 1 1 1
Cartesian
0.000 2.157 0.000
2.157 0.000 0.000
0.000 0.000 0.000
0.000 0.000 2.637
2.157 2.157 2.637
```

Output
Space group = P4/mmm (123)
DFT formation energy = 0.10 eV/atom



Record 5
Entry from Alexandria via LeMat-Bulk: an optimized crystal structure of La2BeAsRh (PBE-GGA).

Structure (POSCAR):
```
La2BeAsRh
1.0
5.492 0.000 0.000
0.000 4.032 0.000
0.000 0.000 5.492
Be As Rh La
1 1 1 2
Cartesian
0.000 0.000 0.000
2.746 2.016 2.746
0.000 2.016 0.000
0.000 0.000 2.746
2.746 0.000 0.000
```

Output
Space group = P4/mmm (123)
DFT formation energy = -0.41 eV/atom



Record 6
Entry from Alexandria via LeMat-Bulk: an optimized crystal structure of LaBeAs2Se (PBE-GGA).

Structure (POSCAR):
```
LaBeAs2Se
1.0
-1.008 -1.199 5.574
5.697 0.024 1.035
-0.232 5.532 1.147
Be As Se La
1 2 1 1
Cartesian
2.229 2.179 3.878
2.848 0.012 0.517
-0.504 -0.599 2.787
-0.116 2.766 0.574
0.000 0.000 0.000
```

Output
Space group = P4/mmm (123)
Energy above the lowest structure with this stoichiometry = 1419 meV/atom



Record 7
Entry from Alexandria via LeMat-Bulk: an optimized crystal structure of LaBeAs2Se (PBE-GGA).

Structure (POSCAR):
```
LaBeAs2Se
1.0
-3.865 1.530 -1.410
-1.449 0.154 4.140
1.913 5.268 0.473
Be As Se La
1 2 1 1
Cartesian
0.000 0.000 0.000
-0.724 0.077 2.070
-1.932 0.765 -0.705
0.956 2.634 0.237
-1.700 3.476 1.602
```

Output
Space group = P4/mmm (123)
Energy above the lowest structure with this stoichiometry = 0 meV/atom



Record 8
Entry from Alexandria via LeMat-Bulk: an optimized crystal structure of LaBe2AsSe (PBE-GGA).

Structure (POSCAR):
```
LaBe2AsSe
1.0
4.461 0.000 0.000
0.000 5.385 0.000
0.000 0.000 4.461
Be As Se La
2 1 1 1
Cartesian
0.000 0.000 2.231
2.231 0.000 0.000
0.000 2.693 0.000
0.000 0.000 0.000
2.231 2.693 2.231
```

Output
Space group = P4/mmm (123)
VASP energy = -19.4 eV/cell



Record 9
Entry from Alexandria via LeMat-Bulk: an optimized crystal structure of LaBeTc2As (PBE-GGA).

Structure (POSCAR):
```
LaBeTc2As
1.0
-0.749 -3.922 -2.775
4.966 0.797 -2.465
2.121 -2.790 3.371
Be As Tc La
1 1 2 1
Cartesian
3.169 -2.958 -0.935
2.483 0.398 -1.233
1.061 -1.395 1.685
-0.374 -1.961 -1.388
0.000 0.000 0.000
```

Output
Space group = P4/mmm (123)
DFT formation energy = 2.20 eV/atom



Record 10
Entry from Alexandria via LeMat-Bulk: an optimized crystal structure of LaYBe2As (PBE-GGA).

Structure (POSCAR):
```
LaYBe2As
1.0
4.815 0.000 0.000
0.000 6.083 0.000
0.000 0.000 4.815
Y Be As La
1 2 1 1
Cartesian
0.000 0.000 0.000
0.000 0.000 2.407
2.407 0.000 0.000
2.407 3.041 2.407
0.000 3.041 0.000
```

Output
Space group = P4/mmm (123)
DFT formation energy = 1.32 eV/atom



Record 11
Entry from Alexandria via LeMat-Bulk: an optimized crystal structure of LiBeAs2 (PBE-GGA).

Structure (POSCAR):
```
LiBeAs2
1.0
-0.163 -2.174 4.131
-3.118 -2.400 -2.517
2.072 -1.789 -0.860
As Be Li
2 1 1
Cartesian
0.000 0.000 0.000
-1.641 -2.287 0.807
0.954 -1.982 1.635
-0.523 -2.095 -1.688
```

Output
Space group = Cmmm (65)
Energy above the lowest structure with this stoichiometry = 289 meV/atom
DFT formation energy = 0.08 eV/atom



Record 12
Entry from Alexandria via LeMat-Bulk: an optimized crystal structure of LiBeAs (PBE-GGA).

Structure (POSCAR):
```
LiBeAs
1.0
-3.356 1.928 -0.115
-2.869 -1.243 -2.283
-3.181 -1.557 1.563
Be As Li
1 1 1
Cartesian
-7.055 -0.655 -0.626
-4.703 -0.436 -0.417
0.000 0.000 0.000
```

Output
Space group = F-43m (216)
DFT formation energy = -0.43 eV/atom



Number 5 is which compound?
La2BeAsRh